Computed, not measured: a relaxed TlSiSe3 crystal at the GGA-PBE level of DFT.

Properties
- Space-group type: P2_1/m
- Fermi-level density of states: 0.392 states/eV/atom
- E: -3.8971 eV/atom
- Raw formation energy: -0.249 eV per atom

a b c (Å): 7.0187 6.1242 7.7035
angles (deg): 90.00 117.05 90.00
Closest atoms and distances in Å follow each position.
Fractional coordinates of all 10 atoms:
Tl  0.1993  0.2500  0.4062  4 Se 3.21-3.56
Tl  0.8007  0.7500  0.5938  4 Se 3.21-3.56
Si  0.4374  0.7500  0.8754  5 Se 2.25-2.43
Si  0.5626  0.2500  0.1246  5 Se 2.25-2.43
Se  0.2619  0.9999  0.0011  2 Si 2.42-2.43
Se  0.2619  0.5001  0.0011  2 Si 2.42-2.43
Se  0.2730  0.7500  0.5477  1 Si 2.25
Se  0.7270  0.2500  0.4523  1 Si 2.25
Se  0.7381  0.0001  0.9989  2 Si 2.42-2.43
Se  0.7381  0.4999  0.9989  2 Si 2.42-2.43